(1)
! TaZn2Si (PBE, optimized geometry); values from VASP
! * calculated total energy: -4.986 eV per atom
! * theoretical density: 9.23 g/cm3
! * space group: Immm, No. 71
&SYSTEM
  ibrav = 0, nat = 4, ntyp = 3
/
ATOMIC_SPECIES
Zn 65.41 Zn.upf
Ta 180.95 Ta.upf
Si 28.09 Si.upf
CELL_PARAMETERS angstrom
5.426 -0.030 -0.022
4.613 2.857 -0.022
1.720 0.484 3.903
ATOMIC_POSITIONS crystal
Zn 0.490 0.490 0.510
Ta 0.250 0.250 0.250
Zn 0.010 0.010 0.990
Si 0.750 0.750 0.750

---

(2)
! IrINF2 (PBE, optimized geometry); values from VASP
! * energy above the lowest structure with this stoichiometry: 0.00 eV per formula unit
! * theoretical density: 8.11 g/cm3
! * space group: P4/mmm, No. 123
&SYSTEM
  ibrav = 0, nat = 5, ntyp = 4
/
ATOMIC_SPECIES
N 14.01 N.upf
Ir 192.22 Ir.upf
I 126.90 I.upf
F 19.00 F.upf
CELL_PARAMETERS angstrom
-1.338 -4.014 -1.522
2.652 0.481 -3.599
2.820 -1.644 1.858
ATOMIC_POSITIONS crystal
N 0.000 0.000 0.500
Ir 0.000 0.000 0.000
I 0.500 0.500 0.500
F 0.500 0.000 0.000
F 0.000 0.500 0.000